Tm4CuHg: optimized geometry, PBE.

a = 6.9415 Å, b = 7.2079 Å, c = 6.7878 Å
α = 90.00°, β = 95.21°, γ = 90.00°
With the nearest neighbours (Å) after each atom.
Space group P2_1/c (No. 14)
One atom of each set of equivalent atoms:
Tm  0.1493  0.1653  0.1772 (multiplicity 4)  2 Cu 2.78-2.85, 1 Hg 3.05
Tm  0.3328  0.6503  0.1101 (multiplicity 4)  1 Cu 2.60, 1 Hg 2.90
Cu  0.0000  0.0000  0.5000 (multiplicity 2)  6 Tm 2.60-2.85
Hg  0.5000  0.0000  0.0000 (multiplicity 2)  6 Tm 2.90-3.05

Output
The calculation puts the density at 9.23 g/cm3. For the formation energy, the calculation gives -43 meV/atom. The calculation puts the density of states at the Fermi level at 1.32 states/eV/atom.

TlCu4Pd: optimized geometry, PBE.

a = 7.0331 Å, b = 7.0331 Å, c = 7.0331 Å
α = 90.00°, β = 90.00°, γ = 90.00°
With the nearest neighbours (Å) after each atom.
Space group F-43m (No. 216)
One atom of each set of equivalent atoms:
Tl  0.0000  0.0000  0.0000 (multiplicity 4)  12 Cu 2.92, 4 Pd 3.05
Cu  0.1245  0.1245  0.3755 (multiplicity 16)  6 Cu 2.48-2.50
Pd  0.2500  0.2500  0.7500 (multiplicity 4)  12 Cu 2.91, 4 Tl 3.05

Output
The calculation puts the density at 10.79 g/cm3. For the formation energy, the calculation gives 76 meV/atom. The calculation puts the density of states at the Fermi level at 0.58 states/eV/atom.

Rb8As2P: optimized geometry, PBE.

a = 5.9652 Å, b = 8.2714 Å, c = 18.5124 Å
α = 90.00°, β = 90.00°, γ = 90.00°
With the nearest neighbours (Å) after each atom.
Space group Immm (No. 71)
One atom of each set of equivalent atoms:
Rb  0.0000  0.0000  0.1914 (multiplicity 4)  6 Rb 3.65-3.80, 2 As 3.79
Rb  0.0000  0.2379  0.3575 (multiplicity 8)  1 P 3.41, 2 As 3.65, 3 Rb 3.65-3.80
Rb  0.0000  0.2583  0.0000 (multiplicity 4)  2 P 3.67, 2 As 3.92, 5 Rb 3.98-4.00
As  0.0000  0.5000  0.1820 (multiplicity 4)  10 Rb 3.65-3.92
P  0.0000  0.5000  0.5000 (multiplicity 2)  8 Rb 3.41-3.67

Output
The calculation puts the density at 3.14 g/cm3. For the formation energy, the calculation gives -189 meV/atom. The calculation puts the density of states at the Fermi level at 1.51 states/eV/atom.